Below is a relaxed La4SnRh crystal, with properties calculated at the PBE level.

a b c (Å): 16.1748 6.0462 8.1300
angles (deg): 90.00 106.00 90.00
With the nearest neighbours (Å) after each atom.
Space group C2/c (No. 15)
Inequivalent atoms, fractional coordinates:
La1 0.0771 0.1415 0.4384 (multiplicity 8)  1 Rh 2.78
La2 0.1778 0.3783 0.1363 (multiplicity 8)  2 Rh 2.89-2.97
Sn1 0.0000 0.3617 0.7500 (multiplicity 4)  10 La 3.39-3.63
Rh1 0.2500 0.2500 0.5000 (multiplicity 4)  6 La 2.78-2.97

## Properties
energy: -137.012 eV/cell
crystal system: monoclinic

=====

Below is a relaxed La3Sn2Rh crystal, with properties calculated at the PBE level.

a b c (Å): 12.9522 4.6000 12.1171
angles (deg): 90.00 90.00 90.00
With the nearest neighbours (Å) after each atom.
Space group Pnma (No. 62)
Inequivalent atoms, fractional coordinates:
La1 0.0528 0.2500 0.1269 (multiplicity 4)  1 Rh 3.02, 4 Sn 3.23-3.33
La2 0.1182 0.7500 0.5465 (multiplicity 4)  3 Rh 3.20-3.35, 5 Sn 3.26-3.39, 1 La 3.58
La3 0.2384 0.2500 0.7944 (multiplicity 4)  2 Rh 3.01, 1 Sn 3.33
Sn1 0.0047 0.7500 0.3066 (multiplicity 4)  2 Rh 2.87
Sn2 0.1948 0.7500 0.9984 (multiplicity 4)  1 Rh 2.84
Rh1 0.1262 0.2500 0.3635 (multiplicity 4)  3 Sn 2.84-2.87, 3 La 3.01-3.02

## Properties
energy: -140.449 eV/cell
crystal system: orthorhombic

=====

Below is a relaxed La3Sn5Rh6 crystal, with properties calculated at the PBE level.

a b c (Å): 4.4015 13.5868 10.2673
angles (deg): 90.00 90.00 90.00
With the nearest neighbours (Å) after each atom.
Space group Pmmn (No. 59, origin choice 2)
Inequivalent atoms, fractional coordinates:
La1 0.2500 0.0774 0.2449 (multiplicity 4)  5 Rh 3.14-3.45, 6 Sn 3.31-3.40
La2 0.2500 0.7500 0.2639 (multiplicity 2)  6 Sn 3.24-3.32, 6 Rh 3.27-3.32
Sn1 0.2500 0.0823 0.6402 (multiplicity 4)  5 Rh 2.64-2.69
Sn2 0.2500 0.6320 0.9903 (multiplicity 4)  5 Rh 2.62-2.75
Sn3 0.2500 0.7500 0.6479 (multiplicity 2)  4 Rh 2.68-2.69
Rh1 0.2500 0.0479 0.8970 (multiplicity 4)  4 Sn 2.62-2.74, 1 Rh 2.86
Rh2 0.2500 0.2500 0.5010 (multiplicity 2)  4 Sn 2.68-2.69
Rh3 0.2500 0.2500 0.9744 (multiplicity 2)  4 Sn 2.75, 2 Rh 2.86
Rh4 0.2500 0.5851 0.5025 (multiplicity 4)  4 Sn 2.64-2.69

## Properties
energy: -178.243 eV/cell
crystal system: orthorhombic

=====

Below is a relaxed LaSn2Rh crystal, with properties calculated at the PBE level.

a b c (Å): 4.6233 4.6233 20.0513
angles (deg): 90.00 90.00 90.00
With the nearest neighbours (Å) after each atom.
Space group I-42d (No. 122)
Inequivalent atoms, fractional coordinates:
La1 0.0000 0.0000 0.0000 (multiplicity 4)  4 Sn 3.15, 4 Rh 3.27
Sn1 0.1723 0.2500 0.6250 (multiplicity 8)  2 Sn 2.81, 2 Rh 2.87
Rh1 0.0000 0.0000 0.5000 (multiplicity 4)  4 Sn 2.87

## Properties
energy: -86.373 eV/cell
crystal system: tetragonal

=====

Below is a relaxed LaSn2Rh crystal, with properties calculated at the PBE level.

a b c (Å): 4.5599 18.9891 4.6565
angles (deg): 90.00 90.00 90.00
With the nearest neighbours (Å) after each atom.
Space group Cmcm (No. 63)
Inequivalent atoms, fractional coordinates:
La1 0.0000 0.1120 0.2500 (multiplicity 4)  10 Sn 3.46-3.73, 4 Rh 3.50
Sn1 0.0000 0.2512 0.7500 (multiplicity 4)  4 Rh 2.66-2.68
Sn2 0.0000 0.4565 0.2500 (multiplicity 4)  1 Rh 2.56, 2 Sn 2.86
Rh1 0.0000 0.3215 0.2500 (multiplicity 4)  5 Sn 2.56-2.68

## Properties
energy: -93.451 eV/cell
crystal system: orthorhombic

=====

Below is a relaxed La2Sn3Rh5 crystal, with properties calculated at the PBE level.

a b c (Å): 4.4509 26.5806 6.8735
angles (deg): 90.00 90.00 90.00
With the nearest neighbours (Å) after each atom.
Space group Cmc2_1 (No. 36)
Inequivalent atoms, fractional coordinates:
La1 0.0000 0.0189 0.0000 (multiplicity 4)  5 Rh 2.97-3.12, 5 Sn 3.29
La2 0.0000 0.3183 0.1208 (multiplicity 4)  9 Rh 3.05-3.35, 1 Sn 3.29
Sn1 0.0000 0.1137 0.3075 (multiplicity 4)  5 Rh 2.71-2.96
Sn2 0.0000 0.2814 0.6348 (multiplicity 4)  7 Rh 2.65-2.79
Sn3 0.0000 0.4411 0.1839 (multiplicity 4)  5 Rh 2.64-2.89
Rh1 0.0000 0.1097 0.7496 (multiplicity 4)  2 Sn 2.64, 3 Rh 2.75-2.94
Rh2 0.0000 0.2045 0.9102 (multiplicity 4)  3 Sn 2.73-2.79, 2 Rh 2.75-2.99, 2 La 3.05
Rh3 0.0000 0.2152 0.3439 (multiplicity 4)  4 Sn 2.65-2.71
Rh4 0.0000 0.3773 0.5249 (multiplicity 4)  4 Sn 2.66-2.96, 3 Rh 2.80-2.94
Rh5 0.0000 0.4574 0.7894 (multiplicity 4)  4 Sn 2.75-2.92, 1 Rh 2.80, 2 La 3.05

## Properties
energy: -259.102 eV/cell
crystal system: orthorhombic

=====

Below is a relaxed LaSn8Rh2 crystal, with properties calculated at the PBE level.

a b c (Å): 6.4533 6.4533 7.9672
angles (deg): 90.00 90.00 90.00
With the nearest neighbours (Å) after each atom.
Space group P4/mmm (No. 123)
Inequivalent atoms, fractional coordinates:
La1 0.0000 0.0000 0.0000 (multiplicity 1)  8 Sn 3.34
Sn1 0.2514 0.2514 0.3044 (multiplicity 8)  2 Rh 2.76
Rh1 0.0000 0.5000 0.5000 (multiplicity 2)  8 Sn 2.76

## Properties
energy: -54.029 eV/cell
crystal system: tetragonal

=====

Below is a relaxed LaSn2Rh crystal, with properties calculated at the PBE level.

a b c (Å): 4.6911 17.1880 9.7626
angles (deg): 90.00 90.00 90.00
With the nearest neighbours (Å) after each atom.
Space group Cmcm (No. 63)
Inequivalent atoms, fractional coordinates:
La1 0.0000 0.0000 0.0000 (multiplicity 4)  4 Rh 3.44, 10 Sn 3.51-3.73
La2 0.0000 0.2046 0.2500 (multiplicity 4)  9 Sn 3.25-3.50, 6 Rh 3.50-3.57
Sn1 0.0000 0.1975 0.5895 (multiplicity 8)  3 Rh 2.67-2.81
Sn2 0.0000 0.4083 0.2500 (multiplicity 4)  2 Rh 2.66, 1 Sn 2.84
Sn3 0.0000 0.4263 0.7500 (multiplicity 4)  2 Rh 2.70, 1 Sn 2.84
Rh1 0.0000 0.3538 0.5048 (multiplicity 8)  5 Sn 2.66-2.81

## Properties
energy: -187.385 eV/cell
crystal system: orthorhombic

=====

Below is a relaxed LaSn2Rh crystal, with properties calculated at the PBE level.

a b c (Å): 4.5173 7.4454 6.1183
angles (deg): 90.00 111.55 90.00
With the nearest neighbours (Å) after each atom.
Space group P2_1/m (No. 11)
Inequivalent atoms, fractional coordinates:
La1 0.0688 0.2500 0.1364 (multiplicity 2)  1 Rh 3.04, 4 Sn 3.27
Sn1 0.3533 0.0444 0.7058 (multiplicity 4)  3 Rh 2.79-2.81, 1 Sn 3.06
Rh1 0.1977 0.7500 0.3980 (multiplicity 2)  6 Sn 2.79-2.81, 1 La 3.04

## Properties
energy: -46.789 eV/cell
crystal system: monoclinic

=====

Below is a relaxed LaSn2Rh crystal, with properties calculated at the PBE level.

a b c (Å): 4.6928 9.7652 17.2835
angles (deg): 90.00 90.00 90.00
With the nearest neighbours (Å) after each atom.
Space group Immm (No. 71)
Inequivalent atoms, fractional coordinates:
La1 0.0000 0.0000 0.2091 (multiplicity 4)  9 Sn 3.22-3.57, 6 Rh 3.49-3.55
La2 0.0000 0.2310 0.0000 (multiplicity 4)  4 Rh 3.46, 10 Sn 3.55-3.81
Sn1 0.0000 0.0000 0.4158 (multiplicity 4)  2 Rh 2.67, 1 Sn 2.91
Sn2 0.0000 0.3398 0.1972 (multiplicity 8)  3 Rh 2.65-2.83
Sn3 0.0000 0.5000 0.4185 (multiplicity 4)  2 Rh 2.69, 1 Sn 2.82
Rh1 0.0000 0.2502 0.3531 (multiplicity 8)  5 Sn 2.65-2.83

## Properties
energy: -187.508 eV/cell
crystal system: orthorhombic

=====

Below is a relaxed La6SnRh4 crystal, with properties calculated at the PBE level.

a b c (Å): 4.3570 13.7278 20.9684
angles (deg): 90.00 90.00 90.00
With the nearest neighbours (Å) after each atom.
Space group Cmcm (No. 63)
Inequivalent atoms, fractional coordinates:
La1 0.0000 0.0000 0.0000 (multiplicity 4)  6 Rh 3.01-3.02
La2 0.0000 0.1690 0.2500 (multiplicity 4)  2 Rh 2.74
La3 0.0000 0.2627 0.5883 (multiplicity 8)  5 Rh 2.93-3.08
La4 0.0000 0.4630 0.1541 (multiplicity 8)  3 Rh 2.70-3.00
Sn1 0.0000 0.1542 0.7500 (multiplicity 4)  6 La 3.26-3.37
Rh1 0.0000 0.1065 0.1259 (multiplicity 8)  6 La 2.74-3.02
Rh2 0.0000 0.3634 0.0432 (multiplicity 8)  5 La 2.70-3.01

## Properties
energy: -282.286 eV/cell
crystal system: orthorhombic

=====

Below is a relaxed La3Sn2Rh7 crystal, with properties calculated at the PBE level.

a b c (Å): 5.6844 5.6844 25.4152
angles (deg): 90.00 90.00 120.00
With the nearest neighbours (Å) after each atom.
Space group R-3m (No. 166, hexagonal axes)
Inequivalent atoms, fractional coordinates:
La1 0.0000 0.0000 0.0000 (multiplicity 3)  6 Sn 3.28, 2 La 3.53, 12 Rh 3.55
La2 0.0000 0.0000 0.1391 (multiplicity 6)  12 Rh 3.17-3.36, 1 La 3.53
Sn1 0.0000 0.0000 0.3336 (multiplicity 6)  6 Rh 2.68-2.69
Rh1 0.0000 0.0000 0.5000 (multiplicity 3)  6 Rh 2.67
Rh2 0.0004 0.5002 0.0836 (multiplicity 18)  5 Rh 2.67-2.85, 2 Sn 2.68-2.69

## Properties
energy: -245.868 eV/cell
crystal system: trigonal